Computed, not measured: a geometry-optimized Na2AgHg2 structure at the PBE level of DFT.

```
10
Lattice="7.499 0.000 0.000 0.000 7.499 0.000 0.000 0.000 4.609" Properties=species:S:1:pos:R:3 pbc="T T T"
Na 2.479 1.270 2.305
Hg 6.455 4.794 0.000
Ag 3.749 3.749 0.000
Hg 4.794 1.044 0.000
Na 1.270 5.020 2.305
Ag 0.000 0.000 0.000
Hg 2.705 6.455 0.000
Na 6.229 2.479 2.305
Hg 1.044 2.705 0.000
Na 5.020 6.229 2.305
```

Properties
* SG: P4/mbm (127)
* energy above the most stable polymorph in this dataset: 9 meV per atom
* spin magnetization: 0.000 μB per cell
* energy of formation: -133 meV/atom